Record 1
GaCu6Pd: relaxed, GGA-PBE.

Cell and atoms, written as POSCAR:
```
GaCu6Pd
1.0
4.266 0.000 0.000
0.000 5.257 -0.169
0.000 -2.479 4.638
Cu Ga Pd
6 1 1
Cartesian
0.000 0.796 4.186 Cu
2.133 4.595 0.242 Cu
2.133 1.999 0.326 Cu
0.000 -0.624 1.902 Cu
2.133 3.370 2.532 Cu
0.000 2.062 1.816 Cu
0.000 -1.833 4.237 Ga
2.133 0.742 2.636 Pd
```

Computed properties:
Its space group is P-6m2. The calculation puts the energy at -4.200 eV/atom. For the formation energy, the calculation gives -0.802 eV per formula unit. As for the energy relative to the lowest polymorph listed for this composition: 0.000 eV/atom.


Record 2
Ga2CuPd8: relaxed, GGA-PBE.

Cell and atoms, written as POSCAR:
```
Ga2CuPd8
1.0
-1.419 -3.398 1.811
5.401 -0.603 3.103
-3.607 5.473 2.793
Cu Pd Ga
1 8 2
Cartesian
-0.710 -1.699 0.905 Cu
-0.159 1.019 1.788 Pd
0.534 0.453 5.919 Pd
0.900 -1.202 3.100 Pd
3.619 -0.138 2.577 Pd
2.785 -0.934 5.080 Pd
-3.244 1.611 5.130 Pd
-2.410 2.407 2.627 Pd
-0.525 2.675 4.607 Pd
1.691 1.237 3.648 Ga
-1.317 0.235 4.059 Ga
```

Computed properties:
Its space group is C2/m. The calculation puts the energy at -5.056 eV/atom. For the formation energy, the calculation gives -3.927 eV per formula unit. As for the energy relative to the lowest polymorph listed for this composition: 0.000 eV/atom.


Record 3
Ga2CuPd2: relaxed, GGA-PBE.

Cell and atoms, written as POSCAR:
```
Ga2CuPd2
1.0
4.158 0.000 0.000
0.000 5.108 0.000
-2.079 0.000 7.048
Ga Cu Pd
4 2 4
Cartesian
0.000 2.700 6.241 Ga
0.000 1.864 3.159 Ga
2.079 4.418 3.889 Ga
2.079 0.146 0.807 Ga
2.079 2.745 1.968 Cu
0.000 0.191 5.079 Cu
2.079 4.289 6.441 Pd
0.000 1.735 0.606 Pd
0.000 4.413 2.282 Pd
2.079 1.859 4.765 Pd
```

Computed properties:
Its space group is Cmc2_1. The calculation puts the energy at -4.549 eV/atom. For the formation energy, the calculation gives -2.209 eV per formula unit. As for the energy relative to the lowest polymorph listed for this composition: 0.000 eV/atom.


Record 4
GaCu6Pd12: relaxed, GGA-PBE.

Cell and atoms, written as POSCAR:
```
GaCu6Pd12
1.0
6.485 0.508 0.609
-0.481 6.487 0.609
-0.481 -0.560 6.491
Pd Cu Ga
12 6 1
Cartesian
2.688 3.787 1.908 Pd
0.779 2.839 4.067 Pd
0.801 2.444 0.458 Pd
-0.107 0.794 2.486 Pd
4.721 3.990 7.249 Pd
2.294 0.243 1.226 Pd
3.336 1.300 3.520 Pd
3.228 6.191 6.482 Pd
4.743 3.596 3.641 Pd
2.835 2.647 5.800 Pd
5.630 5.640 5.222 Pd
2.187 5.134 4.188 Pd
0.247 4.642 2.240 Cu
1.321 0.453 4.968 Cu
4.202 5.981 2.740 Cu
4.551 2.034 1.333 Cu
5.275 1.792 5.468 Cu
0.971 4.400 6.375 Cu
0.000 0.000 0.000 Ga
```

Computed properties:
Its space group is R-3. The calculation puts the energy at -4.821 eV/atom. For the formation energy, the calculation gives -1.674 eV per formula unit. As for the energy relative to the lowest polymorph listed for this composition: 0.071 eV/atom.


Record 5
Ga5Cu2Pd2: relaxed, GGA-PBE.

Cell and atoms, written as POSCAR:
```
Ga5Cu2Pd2
1.0
5.372 0.000 -0.090
0.000 6.889 0.000
-2.766 -3.444 7.672
Ga Cu Pd
10 4 4
Cartesian
3.301 0.136 3.543 Ga
0.618 5.667 2.529 Ga
-0.565 1.740 6.342 Ga
1.988 2.222 5.053 Ga
3.171 5.184 1.240 Ga
4.467 1.071 0.996 Ga
-1.861 -2.374 6.586 Ga
-0.695 3.580 4.039 Ga
0.544 -0.516 5.147 Ga
2.062 2.928 2.435 Ga
0.000 5.755 0.000 Cu
2.405 4.729 4.247 Cu
2.686 2.960 -0.045 Cu
0.201 1.284 3.335 Cu
0.678 -2.853 6.332 Pd
1.928 0.592 1.250 Pd
-0.312 3.484 1.476 Pd
2.918 0.040 6.106 Pd
```

Computed properties:
Its space group is C2. The calculation puts the energy at -3.992 eV/atom. For the formation energy, the calculation gives -2.212 eV per formula unit.


Record 6
Ga7CuPd4: relaxed, GGA-PBE.

Cell and atoms, written as POSCAR:
```
Ga7CuPd4
1.0
4.529 0.000 0.000
2.265 7.016 0.123
2.265 0.457 6.454
Pd Ga Cu
4 7 1
Cartesian
4.529 1.828 4.135 Pd
2.265 2.526 0.407 Pd
4.529 5.645 2.442 Pd
6.794 4.947 6.170 Pd
2.265 4.884 1.372 Ga
2.265 1.235 2.760 Ga
6.794 2.589 5.205 Ga
6.794 6.238 3.817 Ga
4.529 4.549 4.717 Ga
2.265 0.000 0.000 Ga
4.529 2.924 1.861 Ga
0.000 0.000 0.000 Cu
```

Computed properties:
Its space group is C2/m. The calculation puts the energy at -4.168 eV/atom. For the formation energy, the calculation gives -3.963 eV per formula unit.


Record 7
Ga3CuPd: relaxed, GGA-PBE.

Cell and atoms, written as POSCAR:
```
Ga3CuPd
1.0
-3.156 -2.590 0.630
1.136 -0.124 5.205
-4.500 5.757 1.117
Ga Pd Cu
6 2 2
Cartesian
-2.662 -0.594 4.552 Ga
-4.056 0.550 2.256 Ga
-2.362 -1.618 1.839 Ga
-4.158 4.662 5.113 Ga
-3.857 3.638 2.400 Ga
-2.463 2.493 4.695 Ga
-1.910 0.792 0.450 Pd
-4.609 2.252 6.501 Pd
-5.154 2.312 3.997 Cu
-1.366 0.732 2.954 Cu
```

Computed properties:
Its space group is Pmmn. The calculation puts the energy at -3.881 eV/atom. For the formation energy, the calculation gives -1.037 eV per formula unit. As for the energy relative to the lowest polymorph listed for this composition: 0.007 eV/atom.


Record 8
GaCuPd6: relaxed, GGA-PBE.

Cell and atoms, written as POSCAR:
```
GaCuPd6
1.0
-1.042 4.798 -4.939
-4.806 4.966 0.855
-0.212 5.206 0.182
Pd Ga Cu
6 1 1
Cartesian
-5.692 12.289 -2.730 Pd
-2.532 3.777 0.298 Pd
-0.369 2.680 -1.172 Pd
-4.314 9.584 -2.071 Pd
-3.529 11.192 -4.200 Pd
-1.747 5.385 -1.831 Pd
-3.030 7.484 -1.951 Ga
0.000 0.000 0.000 Cu
```

Computed properties:
Its space group is P-1. The calculation puts the energy at -4.920 eV/atom. For the formation energy, the calculation gives -1.079 eV per formula unit. As for the energy relative to the lowest polymorph listed for this composition: 0.111 eV/atom.


Record 9
Ga6CuPd: relaxed, GGA-PBE.

Cell and atoms, written as POSCAR:
```
Ga6CuPd
1.0
-1.079 0.176 -6.803
-0.717 -3.396 -2.686
-6.177 -1.209 -0.407
Ga Pd Cu
6 1 1
Cartesian
-0.442 -0.793 -2.335 Ga
-1.355 -2.427 -7.154 Ga
-4.990 -2.379 -6.779 Ga
-3.285 -0.794 -5.653 Ga
-4.688 -3.635 -4.243 Ga
-2.983 -2.050 -3.116 Ga
-0.898 -1.610 -4.744 Pd
0.000 0.000 0.000 Cu
```

Computed properties:
Its space group is C2/m. The calculation puts the energy at -3.600 eV/atom. For the formation energy, the calculation gives -1.347 eV per formula unit.


Record 10
Ga2Cu2Pd: relaxed, GGA-PBE.

Cell and atoms, written as POSCAR:
```
Ga2Cu2Pd
1.0
-1.035 -1.878 2.602
0.725 -2.800 -1.733
5.936 -2.286 2.895
Pd Ga Cu
1 2 2
Cartesian
0.000 0.000 0.000 Pd
1.083 -2.328 0.935 Ga
4.543 -4.635 2.829 Ga
2.373 -3.251 2.966 Cu
3.253 -3.712 0.798 Cu
```

Computed properties:
Its space group is I4/mmm. The calculation puts the energy at -4.032 eV/atom. For the formation energy, the calculation gives -0.720 eV per formula unit. As for the energy relative to the lowest polymorph listed for this composition: 0.129 eV/atom.


Record 11
Ga2CuPd4: relaxed, GGA-PBE.

Cell and atoms, written as POSCAR:
```
Ga2CuPd4
1.0
-2.106 5.026 -3.595
-5.131 -1.487 0.927
0.940 0.959 6.742
Pd Ga Cu
8 4 2
Cartesian
-5.313 1.446 4.497 Pd
-3.210 0.349 6.579 Pd
-3.087 4.149 -2.506 Pd
-5.484 4.362 0.428 Pd
-3.508 2.321 0.033 Pd
-0.813 0.136 3.646 Pd
-0.985 3.052 -0.423 Pd
-2.789 2.177 4.041 Pd
-0.833 1.530 5.770 Ga
-1.568 1.530 1.706 Ga
-5.464 2.968 -1.696 Ga
-4.729 2.967 2.368 Ga
-2.186 3.864 2.030 Cu
-4.112 0.633 2.044 Cu
```

Computed properties:
Its space group is P2_1/m. The calculation puts the energy at -4.771 eV/atom. For the formation energy, the calculation gives -2.475 eV per formula unit. As for the energy relative to the lowest polymorph listed for this composition: 0.000 eV/atom.


Record 12
Ga2Cu2Pd: relaxed, GGA-PBE.

Cell and atoms, written as POSCAR:
```
Ga2Cu2Pd
1.0
-0.770 0.322 -3.573
1.271 -3.393 -0.579
-4.948 -3.643 -1.146
Cu Ga Pd
2 2 1
Cartesian
-0.806 -1.964 -1.887 Cu
-3.640 -4.750 -3.411 Cu
-2.733 -2.428 -3.397 Ga
-1.713 -4.285 -1.900 Ga
0.000 0.000 0.000 Pd
```

Computed properties:
Its space group is I4/mmm. The calculation puts the energy at -3.851 eV/atom. For the formation energy, the calculation gives 0.186 eV per formula unit. As for the energy relative to the lowest polymorph listed for this composition: 0.311 eV/atom.


Record 13
Ga4Cu2Pd: relaxed, GGA-PBE.

Cell and atoms, written as POSCAR:
```
Ga4Cu2Pd
1.0
-4.508 -0.815 1.451
1.529 -0.375 4.540
-2.318 5.355 3.765
Ga Pd Cu
4 1 2
Cartesian
-1.978 2.917 3.450 Ga
-2.254 -0.408 0.725 Ga
0.764 -0.187 2.270 Ga
-3.319 1.248 6.306 Ga
0.000 0.000 0.000 Pd
-3.643 3.576 6.608 Cu
-1.654 0.590 3.149 Cu
```

Computed properties:
Its space group is I4/mmm. The calculation puts the energy at -3.540 eV/atom. For the formation energy, the calculation gives 0.714 eV per formula unit. As for the energy relative to the lowest polymorph listed for this composition: 0.263 eV/atom.


Record 14
GaCuPd3: relaxed, GGA-PBE.

Cell and atoms, written as POSCAR:
```
GaCuPd3
1.0
7.707 0.876 0.690
2.607 6.516 -0.447
2.607 1.097 6.438
Cu Pd Ga
4 12 4
Cartesian
5.091 6.006 2.454 Cu
8.945 4.235 5.606 Cu
7.829 2.483 4.227 Cu
3.976 4.254 1.075 Cu
6.177 3.104 6.335 Pd
10.690 5.906 4.239 Pd
4.513 1.112 2.403 Pd
6.836 5.069 4.400 Pd
6.084 3.419 2.282 Pd
10.031 7.325 1.874 Pd
8.408 7.377 4.278 Pd
4.554 5.453 5.820 Pd
2.890 1.164 4.807 Pd
8.366 3.036 0.861 Pd
2.231 2.583 2.443 Pd
6.744 5.385 0.347 Pd
4.533 6.514 0.007 Ga
8.387 1.975 6.675 Ga
8.387 5.313 2.433 Ga
4.533 3.176 4.248 Ga
```

Computed properties:
Its space group is C2/c. The calculation puts the energy at -4.828 eV/atom. For the formation energy, the calculation gives -1.436 eV per formula unit. As for the energy relative to the lowest polymorph listed for this composition: 0.147 eV/atom.


Record 15
GaCu2Pd4: relaxed, GGA-PBE.

Cell and atoms, written as POSCAR:
```
GaCu2Pd4
1.0
-3.356 -0.639 3.126
-3.031 -0.776 -3.413
-1.878 -6.685 0.047
Pd Cu Ga
4 2 1
Cartesian
-1.516 -0.388 -1.706 Pd
-1.678 -0.319 1.563 Pd
-5.876 -3.737 -0.213 Pd
-2.389 -4.363 -0.027 Pd
-2.924 -1.932 -0.104 Cu
-5.341 -6.169 -0.135 Cu
0.000 0.000 0.000 Ga
```

Computed properties:
Its space group is I4/mmm. The calculation puts the energy at -4.225 eV/atom. For the formation energy, the calculation gives 2.413 eV per formula unit. As for the energy relative to the lowest polymorph listed for this composition: 0.638 eV/atom.


Record 16
Ga2Cu3Pd8: relaxed, GGA-PBE.

Cell and atoms, written as POSCAR:
```
Ga2Cu3Pd8
1.0
-2.524 0.080 3.282
-5.287 -5.065 -3.942
5.483 -2.223 4.273
Pd Ga Cu
8 2 3
Cartesian
-0.371 -3.524 5.025 Pd
-0.573 -6.002 -0.291 Pd
-1.956 -3.685 -1.413 Pd
-1.866 -2.462 1.238 Pd
-1.755 -1.206 3.904 Pd
-4.484 -4.970 -0.715 Pd
2.156 -2.239 4.327 Pd
-0.462 -4.747 2.375 Pd
0.180 -2.374 2.808 Ga
-2.508 -4.834 0.805 Ga
-1.262 0.040 1.641 Cu
-4.006 -3.838 -2.987 Cu
-1.281 -1.227 -0.955 Cu
```

Computed properties:
Its space group is Cmmm. The calculation puts the energy at -4.827 eV/atom. For the formation energy, the calculation gives -2.860 eV per formula unit.


Record 17
GaCu6Pd: relaxed, GGA-PBE.

Cell and atoms, written as POSCAR:
```
GaCu6Pd
1.0
-4.719 -4.037 1.309
0.438 -3.877 5.005
-2.874 -0.324 4.024
Cu Pd Ga
6 1 1
Cartesian
-6.021 -6.980 8.701 Cu
-2.907 -2.774 2.129 Cu
-1.135 -1.258 1.637 Cu
-6.185 -5.523 6.821 Cu
-0.970 -2.714 3.517 Cu
-4.248 -5.463 8.210 Cu
-3.578 -4.119 5.169 Pd
0.000 0.000 0.000 Ga
```

Computed properties:
Its space group is R-3m. The calculation puts the energy at -3.798 eV/atom. For the formation energy, the calculation gives 2.415 eV per formula unit. As for the energy relative to the lowest polymorph listed for this composition: 0.402 eV/atom.


Record 18
Ga4Cu2Pd3: relaxed, GGA-PBE.

Cell and atoms, written as POSCAR:
```
Ga4Cu2Pd3
1.0
3.310 0.000 0.000
-1.655 6.270 -0.932
0.000 -4.594 7.078
Pd Ga Cu
3 4 2
Cartesian
0.000 0.000 0.000 Pd
1.655 -1.224 4.540 Pd
0.000 2.900 1.606 Pd
1.655 2.008 -0.229 Ga
0.000 -0.332 6.375 Ga
0.000 -1.228 2.449 Ga
1.655 2.904 3.697 Ga
1.655 0.727 2.111 Cu
0.000 0.949 4.036 Cu
```

Computed properties:
Its space group is C2/m. The calculation puts the energy at -4.382 eV/atom. For the formation energy, the calculation gives -3.563 eV per formula unit.


Record 19
Ga2CuPd: relaxed, GGA-PBE.

Cell and atoms, written as POSCAR:
```
Ga2CuPd
1.0
3.829 0.046 0.599
0.022 5.383 -0.070
-0.959 -2.793 5.593
Ga Cu Pd
4 2 2
Cartesian
1.644 -1.419 3.686 Ga
2.111 1.646 1.014 Ga
-0.513 0.353 4.898 Ga
-0.021 0.081 1.977 Ga
-0.030 2.869 2.004 Cu
2.146 4.242 0.916 Cu
-0.519 -2.345 4.925 Pd
1.650 1.278 3.659 Pd
```

Computed properties:
Its space group is P-1. The calculation puts the energy at -4.134 eV/atom. For the formation energy, the calculation gives -1.193 eV per formula unit. As for the energy relative to the lowest polymorph listed for this composition: 0.000 eV/atom.


Record 20
Ga4Cu2Pd: relaxed, GGA-PBE.

Cell and atoms, written as POSCAR:
```
Ga4Cu2Pd
1.0
6.776 0.000 -0.374
0.000 5.578 0.000
-2.891 0.000 6.011
Ga Cu Pd
8 4 2
Cartesian
0.900 0.070 4.493 Ga
-2.145 4.183 5.802 Ga
2.985 5.508 1.144 Ga
0.900 2.719 4.493 Ga
2.985 2.858 1.144 Ga
6.030 1.394 -0.165 Ga
5.082 4.183 2.876 Ga
-1.198 1.394 2.761 Ga
1.083 1.394 1.894 Cu
5.057 4.183 0.294 Cu
2.802 4.183 3.742 Cu
-1.173 1.394 5.343 Cu
0.609 4.183 2.301 Pd
3.275 1.394 3.335 Pd
```

Computed properties:
Its space group is P2_1/m. The calculation puts the energy at -3.776 eV/atom. For the formation energy, the calculation gives -0.939 eV per formula unit. As for the energy relative to the lowest polymorph listed for this composition: 0.027 eV/atom.